# Ac7DyHo2 (GGA-PBE, optimized geometry)
data_Ac7DyHo2
_symmetry_space_group_name_H-M 'C m m m'
_symmetry_Int_Tables_number 65
_symmetry_space_group_name_Hall '-C 2 2'
_cell_length_a 10.135
_cell_length_b 16.403
_cell_length_c 6.091
_cell_angle_alpha 90.00
_cell_angle_beta 90.00
_cell_angle_gamma 90.00
loop_
_atom_site_label
_atom_site_type_symbol
_atom_site_fract_x
_atom_site_fract_y
_atom_site_fract_z
_atom_site_occupancy
Ac1 Ac 0.000 0.000 0.000 1
Ac2 Ac 0.000 0.259 0.500 1
Ac3 Ac 0.185 0.377 0.000 1
Dy1 Dy 0.000 0.500 0.500 1
Ho1 Ho 0.000 0.202 0.000 1
# * energy of formation from the pure elements: 634 meV per atom
# * size of the total moment: 0.00 μB/cell



# LaHSe (GGA-PBE, optimized geometry)
data_LaHSe
_symmetry_space_group_name_H-M 'I 4/m m m'
_symmetry_Int_Tables_number 139
_symmetry_space_group_name_Hall '-I 4 2'
_cell_length_a 4.586
_cell_length_b 4.586
_cell_length_c 12.964
_cell_angle_alpha 90.00
_cell_angle_beta 90.00
_cell_angle_gamma 90.00
loop_
_atom_site_label
_atom_site_type_symbol
_atom_site_fract_x
_atom_site_fract_y
_atom_site_fract_z
_atom_site_occupancy
La1 La 0.000 0.000 0.147 1
H1 H 0.000 0.500 0.250 1
Se1 Se 0.000 0.500 0.000 1
# * raw total energy: -4.919 eV per atom
# * size of the total moment: 0.00 μB/cell



# RbFeRe2S (GGA-PBE, optimized geometry)
data_RbFeRe2S
_symmetry_space_group_name_H-M 'P 4/m m m'
_symmetry_Int_Tables_number 123
_symmetry_space_group_name_Hall '-P 4 2'
_cell_length_a 4.461
_cell_length_b 4.461
_cell_length_c 6.078
_cell_angle_alpha 90.00
_cell_angle_beta 90.00
_cell_angle_gamma 90.00
loop_
_atom_site_label
_atom_site_type_symbol
_atom_site_fract_x
_atom_site_fract_y
_atom_site_fract_z
_atom_site_occupancy
Rb1 Rb 0.000 0.000 0.000 1
Fe1 Fe 0.000 0.000 0.500 1
Re1 Re 0.000 0.500 0.500 1
S1 S 0.500 0.500 0.000 1
# * E_form (uncorrected): 9.16 eV per formula unit
# * size of the total moment: 3.04 μB/cell



# SrScGa2Pd2 (GGA-PBE, optimized geometry)
data_SrScGa2Pd2
_symmetry_space_group_name_H-M 'P -3 m 1'
_symmetry_Int_Tables_number 164
_symmetry_space_group_name_Hall '-P 3 2"'
_cell_length_a 4.4680
_cell_length_b 4.4680
_cell_length_c 7.3631
_cell_angle_alpha 90.00
_cell_angle_beta 90.00
_cell_angle_gamma 120.00
loop_
_atom_site_label
_atom_site_type_symbol
_atom_site_fract_x
_atom_site_fract_y
_atom_site_fract_z
_atom_site_occupancy
Sr1 Sr 0.0000 0.0000 0.0000 1
Sc1 Sc 0.0000 0.0000 0.5000 1
Ga1 Ga 0.3333 0.6667 0.3063 1
Pd1 Pd 0.3333 0.6667 0.6876 1
# * energy of formation from the pure elements: -776 meV per atom
# * size of the total moment: 0.00 μB/cell



# Li2GaBiBr6 (GGA-PBE, optimized geometry)
data_Li2GaBiBr6
_symmetry_space_group_name_H-M 'R 3'
_symmetry_Int_Tables_number 146
_symmetry_space_group_name_Hall 'R 3'
_cell_length_a 7.2563
_cell_length_b 7.2563
_cell_length_c 19.9031
_cell_angle_alpha 90.00
_cell_angle_beta 90.00
_cell_angle_gamma 120.00
loop_
_atom_site_label
_atom_site_type_symbol
_atom_site_fract_x
_atom_site_fract_y
_atom_site_fract_z
_atom_site_occupancy
Li1 Li 0.0000 0.0000 0.0000 1
Li2 Li 0.0000 0.0000 0.4802 1
Ga1 Ga 0.0000 0.0000 0.1899 1
Bi1 Bi 0.0000 0.0000 0.6791 1
Br1 Br 0.0064 0.6131 0.2558 1
Br2 Br 0.0071 0.3600 0.7518 1
# * E_form (uncorrected): -9.97 eV per formula unit
# * size of the total moment: 0.00 μB/cell



# Li6Sn5Pb (GGA-PBE, optimized geometry)
data_Li6Sn5Pb
_symmetry_space_group_name_H-M 'C 1 2/m 1'
_symmetry_Int_Tables_number 12
_cell_length_a 8.734
_cell_length_b 14.259
_cell_length_c 4.752
_cell_angle_alpha 90.00
_cell_angle_beta 122.59
_cell_angle_gamma 90.00
loop_
_symmetry_equiv_pos_as_xyz
'x,y,z'
'-x,-y,-z'
'-x,y,-z'
'x,-y,z'
'x+1/2,y+1/2,z'
'-x+1/2,-y+1/2,-z'
'-x+1/2,y+1/2,-z'
'x+1/2,-y+1/2,z'
loop_
_atom_site_label
_atom_site_type_symbol
_atom_site_fract_x
_atom_site_fract_y
_atom_site_fract_z
_atom_site_occupancy
Li1 Li 0.244 0.000 0.244 1
Li2 Li 0.247 0.168 0.747 1
Sn1 Sn 0.000 0.000 0.500 1
Sn2 Sn 0.000 0.167 0.000 1
Sn3 Sn 0.000 0.332 0.500 1
Pb1 Pb 0.000 0.500 0.000 1
# * energy above the most stable polymorph in this dataset: 0.08 eV/f.u.
# * energy of formation from the pure elements: -303 meV per atom
# * size of the total moment: 0.00 μB/cell



# CoCu2Br (GGA-PBE, optimized geometry)
data_CoCu2Br
_symmetry_space_group_name_H-M 'I -4 m 2'
_symmetry_Int_Tables_number 119
_symmetry_space_group_name_Hall 'I -4 -2'
_cell_length_a 3.814
_cell_length_b 3.814
_cell_length_c 7.895
_cell_angle_alpha 90.00
_cell_angle_beta 90.00
_cell_angle_gamma 90.00
loop_
_atom_site_label
_atom_site_type_symbol
_atom_site_fract_x
_atom_site_fract_y
_atom_site_fract_z
_atom_site_occupancy
Co1 Co 0.000 0.000 0.000 1
Cu1 Cu 0.000 0.000 0.500 1
Cu2 Cu 0.000 0.500 0.750 1
Br1 Br 0.000 0.500 0.250 1
# * energy above the most stable polymorph in this dataset: 1.29 eV/f.u.
# * E_form (uncorrected): 2.66 eV per formula unit
# * size of the total moment: 3.17 μB/cell



# Ca2GaCu3 (GGA-PBE, optimized geometry)
data_Ca2GaCu3
_symmetry_space_group_name_H-M 'F m m m'
_symmetry_Int_Tables_number 69
_symmetry_space_group_name_Hall '-F 2 2'
_cell_length_a 7.691
_cell_length_b 8.567
_cell_length_c 14.921
_cell_angle_alpha 90.00
_cell_angle_beta 90.00
_cell_angle_gamma 90.00
loop_
_atom_site_label
_atom_site_type_symbol
_atom_site_fract_x
_atom_site_fract_y
_atom_site_fract_z
_atom_site_occupancy
Ca1 Ca 0.245 0.000 0.000 1
Ca2 Ca 0.250 0.250 0.250 1
Ga1 Ga 0.000 0.000 0.334 1
Cu1 Cu 0.000 0.000 0.167 1
Cu2 Cu 0.000 0.250 0.083 1
# * energy above the most stable polymorph in this dataset: 0.24 eV/f.u.
# * energy of formation from the pure elements: -200 meV per atom
# * size of the total moment: 0.00 μB/cell



# TaPb4Br (GGA-PBE, optimized geometry)
data_TaPb4Br
_symmetry_space_group_name_H-M 'F -4 3 m'
_symmetry_Int_Tables_number 216
_symmetry_space_group_name_Hall 'F -4 2 3'
_cell_length_a 8.976
_cell_length_b 8.976
_cell_length_c 8.976
_cell_angle_alpha 90.00
_cell_angle_beta 90.00
_cell_angle_gamma 90.00
loop_
_atom_site_label
_atom_site_type_symbol
_atom_site_fract_x
_atom_site_fract_y
_atom_site_fract_z
_atom_site_occupancy
Ta1 Ta 0.000 0.000 0.000 1
Pb1 Pb 0.126 0.126 0.374 1
Br1 Br 0.250 0.250 0.750 1
# * E_form (uncorrected): 4.57 eV per formula unit
# * size of the total moment: 9.28 μB/cell



# CsSr2BPt (GGA-PBE, optimized geometry)
data_CsSr2BPt
_symmetry_space_group_name_H-M 'P 4/m m m'
_symmetry_Int_Tables_number 123
_symmetry_space_group_name_Hall '-P 4 2'
_cell_length_a 5.551
_cell_length_b 5.551
_cell_length_c 5.561
_cell_angle_alpha 90.00
_cell_angle_beta 90.00
_cell_angle_gamma 90.00
loop_
_atom_site_label
_atom_site_type_symbol
_atom_site_fract_x
_atom_site_fract_y
_atom_site_fract_z
_atom_site_occupancy
Cs1 Cs 0.000 0.000 0.000 1
Sr1 Sr 0.000 0.500 0.500 1
B1 B 0.000 0.000 0.500 1
Pt1 Pt 0.500 0.500 0.000 1
# * energy of formation from the pure elements: 572 meV per atom
# * size of the total moment: 0.00 μB/cell



# Ir3SeN (GGA-PBE, optimized geometry)
data_Ir3SeN
_symmetry_space_group_name_H-M 'P m -3 m'
_symmetry_Int_Tables_number 221
_symmetry_space_group_name_Hall '-P 4 2 3'
_cell_length_a 4.159
_cell_length_b 4.159
_cell_length_c 4.159
_cell_angle_alpha 90.00
_cell_angle_beta 90.00
_cell_angle_gamma 90.00
loop_
_atom_site_label
_atom_site_type_symbol
_atom_site_fract_x
_atom_site_fract_y
_atom_site_fract_z
_atom_site_occupancy
Ir1 Ir 0.000 0.000 0.500 1
Se1 Se 0.500 0.500 0.500 1
N1 N 0.000 0.000 0.000 1
# * energy above the most stable polymorph in this dataset: 0.00 eV/f.u.
# * E_form (uncorrected): 4.96 eV per formula unit
# * size of the total moment: 0.00 μB/cell



# KHIrCl (GGA-PBE, optimized geometry)
data_KHIrCl
_symmetry_space_group_name_H-M 'C 1 m 1'
_symmetry_Int_Tables_number 8
_cell_length_a 12.363
_cell_length_b 3.090
_cell_length_c 5.153
_cell_angle_alpha 90.00
_cell_angle_beta 105.43
_cell_angle_gamma 90.00
loop_
_symmetry_equiv_pos_as_xyz
'x,y,z'
'x,-y,z'
'x+1/2,y+1/2,z'
'x+1/2,-y+1/2,z'
loop_
_atom_site_label
_atom_site_type_symbol
_atom_site_fract_x
_atom_site_fract_y
_atom_site_fract_z
_atom_site_occupancy
K1 K 0.000 0.000 0.000 1
H1 H 0.488 0.000 0.505 1
Ir1 Ir 0.123 0.500 0.570 1
Cl1 Cl 0.265 0.000 0.618 1
# * energy above the most stable polymorph in this dataset: 0.53 eV/f.u.
# * size of the total moment: 0.00 μB/cell



# ScPa2TiN5 (GGA-PBE, optimized geometry)
data_ScPa2TiN5
_symmetry_space_group_name_H-M 'C m c 21'
_symmetry_Int_Tables_number 36
_cell_length_a 3.357
_cell_length_b 13.261
_cell_length_c 10.110
_cell_angle_alpha 90.00
_cell_angle_beta 90.00
_cell_angle_gamma 90.00
loop_
_symmetry_equiv_pos_as_xyz
'x,y,z'
'-x,-y,z+1/2'
'-x,y,z'
'x,-y,z+1/2'
'x+1/2,y+1/2,z'
'-x+1/2,-y+1/2,z+1/2'
'-x+1/2,y+1/2,z'
'x+1/2,-y+1/2,z+1/2'
loop_
_atom_site_label
_atom_site_type_symbol
_atom_site_fract_x
_atom_site_fract_y
_atom_site_fract_z
_atom_site_occupancy
Sc1 Sc 0.000 0.213 0.000 1
Pa1 Pa 0.000 0.112 0.685 1
Pa2 Pa 0.000 0.143 0.288 1
Ti1 Ti 0.000 0.473 0.465 1
N1 N 0.000 0.052 0.059 1
N2 N 0.000 0.280 0.658 1
N3 N 0.000 0.318 0.360 1
N4 N 0.000 0.375 0.002 1
N5 N 0.000 0.488 0.774 1
# * E_form (uncorrected): -14.21 eV per formula unit
# * size of the total moment: 0.00 μB/cell



# La2TbTm (GGA-PBE, optimized geometry)
data_La2TbTm
_symmetry_space_group_name_H-M 'R 3 m'
_symmetry_Int_Tables_number 160
_symmetry_space_group_name_Hall 'R 3 -2"'
_cell_length_a 3.6441
_cell_length_b 3.6441
_cell_length_c 35.3636
_cell_angle_alpha 90.00
_cell_angle_beta 90.00
_cell_angle_gamma 120.00
loop_
_atom_site_label
_atom_site_type_symbol
_atom_site_fract_x
_atom_site_fract_y
_atom_site_fract_z
_atom_site_occupancy
La1 La 0.0000 0.0000 0.0000 1
La2 La 0.0000 0.0000 0.1674 1
Tb1 Tb 0.0000 0.0000 0.7512 1
Tm1 Tm 0.0000 0.0000 0.5826 1
# * energy above the most stable polymorph in this dataset: 0.06 eV/f.u.
# * energy of formation from the pure elements: 31 meV per atom
# * size of the total moment: 0.00 μB/cell



# MnSi2Br (GGA-PBE, optimized geometry)
data_MnSi2Br
_symmetry_space_group_name_H-M 'P 4 m m'
_symmetry_Int_Tables_number 99
_cell_length_a 3.262
_cell_length_b 3.262
_cell_length_c 7.413
_cell_angle_alpha 90.00
_cell_angle_beta 90.00
_cell_angle_gamma 90.00
loop_
_symmetry_equiv_pos_as_xyz
'x,y,z'
'-y,x,z'
'-x,-y,z'
'y,-x,z'
'-x,y,z'
'y,x,z'
'x,-y,z'
'-y,-x,z'
loop_
_atom_site_label
_atom_site_type_symbol
_atom_site_fract_x
_atom_site_fract_y
_atom_site_fract_z
_atom_site_occupancy
Mn1 Mn 0.000 0.000 0.000 1
Si1 Si 0.000 0.000 0.341 1
Si2 Si 0.500 0.500 0.208 1
Br1 Br 0.500 0.500 0.783 1
# * energy above the most stable polymorph in this dataset: 0.81 eV/f.u.
# * E_form (uncorrected): 0.98 eV per formula unit
# * size of the total moment: 3.45 μB/cell



# Fe6Co2Ni (GGA-PBE, optimized geometry)
data_Fe6Co2Ni
_symmetry_space_group_name_H-M 'I b a m'
_symmetry_Int_Tables_number 72
_symmetry_space_group_name_Hall '-I 2 2c'
_cell_length_a 7.115
_cell_length_b 7.941
_cell_length_c 7.640
_cell_angle_alpha 90.00
_cell_angle_beta 90.00
_cell_angle_gamma 90.00
loop_
_atom_site_label
_atom_site_type_symbol
_atom_site_fract_x
_atom_site_fract_y
_atom_site_fract_z
_atom_site_occupancy
Fe1 Fe 0.063 0.169 0.000 1
Fe2 Fe 0.145 0.354 0.322 1
Co1 Co 0.237 0.410 0.000 1
Ni1 Ni 0.000 0.000 0.250 1
# * energy of formation from the pure elements: 180 meV per atom
# * size of the total moment: 77.36 μB/cell



# KSeN2O (GGA-PBE, optimized geometry)
data_KSeN2O
_symmetry_space_group_name_H-M 'P 4/m m m'
_symmetry_Int_Tables_number 123
_symmetry_space_group_name_Hall '-P 4 2'
_cell_length_a 4.008
_cell_length_b 4.008
_cell_length_c 4.172
_cell_angle_alpha 90.00
_cell_angle_beta 90.00
_cell_angle_gamma 90.00
loop_
_atom_site_label
_atom_site_type_symbol
_atom_site_fract_x
_atom_site_fract_y
_atom_site_fract_z
_atom_site_occupancy
K1 K 0.000 0.000 0.000 1
Se1 Se 0.500 0.500 0.500 1
N1 N 0.000 0.500 0.500 1
O1 O 0.500 0.500 0.000 1
# * E_form (uncorrected): 4.48 eV per formula unit
# * size of the total moment: 2.22 μB/cell



# ThCo4 (GGA-PBE, optimized geometry)
data_ThCo4
_symmetry_space_group_name_H-M 'P m -3 m'
_symmetry_Int_Tables_number 221
_symmetry_space_group_name_Hall '-P 4 2 3'
_cell_length_a 4.657
_cell_length_b 4.657
_cell_length_c 4.657
_cell_angle_alpha 90.00
_cell_angle_beta 90.00
_cell_angle_gamma 90.00
loop_
_atom_site_label
_atom_site_type_symbol
_atom_site_fract_x
_atom_site_fract_y
_atom_site_fract_z
_atom_site_occupancy
Th1 Th 0.000 0.000 0.000 1
Co1 Co 0.000 0.000 0.500 1
Co2 Co 0.500 0.500 0.500 1
# * energy above the most stable polymorph in this dataset: 9.32 eV/f.u.
# * energy of formation from the pure elements: 1771 meV per atom
# * size of the total moment: 3.97 μB/cell



# LaPm2PrTm (GGA-PBE, optimized geometry)
data_LaPm2PrTm
_symmetry_space_group_name_H-M 'P 1 2/c 1'
_symmetry_Int_Tables_number 13
_cell_length_a 9.174
_cell_length_b 6.484
_cell_length_c 6.478
_cell_angle_alpha 90.00
_cell_angle_beta 110.22
_cell_angle_gamma 90.00
loop_
_symmetry_equiv_pos_as_xyz
'x,y,z'
'-x,-y,-z'
'-x,y,-z+1/2'
'x,-y,z+1/2'
loop_
_atom_site_label
_atom_site_type_symbol
_atom_site_fract_x
_atom_site_fract_y
_atom_site_fract_z
_atom_site_occupancy
La1 La 0.000 0.000 0.000 1
Pm1 Pm 0.316 0.325 0.159 1
Pr1 Pr 0.500 0.161 0.750 1
Tm1 Tm 0.000 0.497 0.750 1
# * energy of formation from the pure elements: 256 meV per atom
# * size of the total moment: 0.00 μB/cell



# LaBeW2 (GGA-PBE, optimized geometry)
data_LaBeW2
_symmetry_space_group_name_H-M 'P 1 m 1'
_symmetry_Int_Tables_number 6
_cell_length_a 3.244
_cell_length_b 3.249
_cell_length_c 7.095
_cell_angle_alpha 90.00
_cell_angle_beta 90.91
_cell_angle_gamma 90.00
loop_
_symmetry_equiv_pos_as_xyz
'x,y,z'
'x,-y,z'
loop_
_atom_site_label
_atom_site_type_symbol
_atom_site_fract_x
_atom_site_fract_y
_atom_site_fract_z
_atom_site_occupancy
La1 La 0.000 0.000 0.000 1
Be1 Be 0.510 0.500 0.669 1
W1 W 0.009 0.000 0.512 1
W2 W 0.507 0.500 0.317 1
# * energy of formation from the pure elements: 326 meV per atom
# * size of the total moment: 0.00 μB/cell